# meta-GGA SCAN CrAsSe, PBEsol geometry
data_CrAsSe
_chemical_formula_sum 'Cr4 As4 Se4'
_cell_length_a 5.979
_cell_length_b 5.979
_cell_length_c 5.979
_cell_angle_alpha 90.00
_cell_angle_beta 90.00
_cell_angle_gamma 90.00
_space_group_name_H-M_alt 'F -4 3 m'
_space_group_IT_number 216
_space_group_name_Hall 'F -4 2 3'
loop_
_atom_site_label
_atom_site_type_symbol
_atom_site_fract_x
_atom_site_fract_y
_atom_site_fract_z
Cr1 Cr 0.000 0.000 0.000
As1 As 0.250 0.250 0.750
Se1 Se 0.250 0.250 0.250
# DOS at the Fermi energy ... 1.44 states/eV/f.u.
# Crystal system ... cubic
# Energy relative to the elements, uncorrected ... -0.450 eV per formula unit



# meta-GGA SCAN ScTl2, PBEsol geometry
data_ScTl2
_chemical_formula_sum 'Sc4 Tl8'
_cell_length_a 4.498
_cell_length_b 14.927
_cell_length_c 4.232
_cell_angle_alpha 90.00
_cell_angle_beta 90.00
_cell_angle_gamma 90.00
_space_group_name_H-M_alt 'C m c m'
_space_group_IT_number 63
_space_group_name_Hall '-C 2c 2'
loop_
_atom_site_label
_atom_site_type_symbol
_atom_site_fract_x
_atom_site_fract_y
_atom_site_fract_z
Sc1 Sc 0.000 0.087 0.250
Tl1 Tl 0.000 0.259 0.750
Tl2 Tl 0.000 0.426 0.250
# DOS at the Fermi energy ... 1.53 states/eV/f.u.
# Crystal system ... orthorhombic
# ΔH_f (0 K) ... -0.678 eV/f.u.